Record 1
This record from the Alexandria database describes an optimized crystal structure of KLi2Pa3Te6. The functional is PBE-GGA.

Computed properties:
Uncorrected formation energy   -0.834 eV per atom
Theoretical density   6.5 g/cm3
Total DFT energy (no corrections)   -0.3814 Ry/atom
Size of the total moment   5.92 μB/cell

Cell: 10.079 10.079 9.953 Å, 112.01 112.01 24.55°
Sites, in units of the cell vectors:
K (0.000, 0.000, 0.000)
Li (0.331, 0.331, 0.591)
Li (0.669, 0.669, 0.409)
Pa (0.000, 0.000, 0.500)
Pa (0.343, 0.343, 0.189)
Pa (0.657, 0.657, 0.811)
Te (0.174, 0.174, 0.049)
Te (0.178, 0.178, 0.598)
Te (0.488, 0.488, 0.721)
Te (0.512, 0.512, 0.279)
Te (0.822, 0.822, 0.402)
Te (0.826, 0.826, 0.951)

Record 2
This record from the Alexandria database describes an optimized crystal structure of K2Li2PaTe4. The functional is PBE-GGA.

Computed properties:
Uncorrected formation energy   -1.043 eV per atom
Theoretical density   4.7 g/cm3
Total DFT energy (no corrections)   -0.3060 Ry/atom
Size of the total moment   1.00 μB/cell

Cell: 8.588 8.588 8.401 Å, 109.56 109.56 30.76°
Sites, in units of the cell vectors:
K (0.138, 0.138, 0.065)
K (0.862, 0.862, 0.935)
Li (0.318, 0.318, 0.511)
Li (0.682, 0.682, 0.489)
Pa (0.000, 0.000, 0.500)
Te (0.198, 0.198, 0.684)
Te (0.485, 0.485, 0.742)
Te (0.515, 0.515, 0.258)
Te (0.802, 0.802, 0.316)

Which value of theoretical density does entry 2 give? 4.7 g/cm3

Which of these has the highest uncorrected formation energy? KLi2Pa3Te6

Number 1 is which compound? KLi2Pa3Te6